Entry 1:
! PBE CePu2In2Ag2, relaxed; values from VASP
! - N(E_F): 2.0098 states/eV per atom
! - Crystal system: monoclinic
! - ΔE_f: -0.16 eV/atom
&SYSTEM
  ibrav = 0, nat = 7, ntyp = 4
/
ATOMIC_SPECIES
Ce 140.12 Ce.upf
Pu 244.00 Pu.upf
In 114.82 In.upf
Ag 107.87 Ag.upf
CELL_PARAMETERS angstrom
-2.5945 -0.8648 4.1992
3.1714 -3.6677 -1.7860
4.4713 5.2225 3.8381
ATOMIC_POSITIONS crystal
Ce 0.0000 0.0000 0.0000
Pu 0.1263 0.2526 0.4118
Pu 0.8737 0.7474 0.5882
In 0.5971 0.1942 0.7611
In 0.4029 0.8058 0.2389
Ag 0.7201 0.4401 0.1793
Ag 0.2799 0.5599 0.8207

Entry 2:
! PBE PdPbAu4, relaxed; values from VASP
! - N(E_F): 0.3955 states/eV per atom
! - Crystal system: cubic
! - ΔE_f: 0.03 eV/atom
&SYSTEM
  ibrav = 0, nat = 6, ntyp = 3
/
ATOMIC_SPECIES
Pb 207.20 Pb.upf
Au 196.97 Au.upf
Pd 106.42 Pd.upf
CELL_PARAMETERS angstrom
-4.9897 -0.3153 -2.4474
-0.5257 -2.5241 -4.9335
-2.6213 -4.8979 -0.3552
ATOMIC_POSITIONS crystal
Pb 0.0000 0.0000 0.0000
Au 0.6244 0.6244 0.1268
Au 0.6244 0.1268 0.6244
Au 0.6244 0.6244 0.6244
Au 0.1268 0.6244 0.6244
Pd 0.2500 0.2500 0.2500

Let's list total DFT energy (no corrections) in order: -0.2463; -0.1337 hartree per atom.